Crystalline TmSc2Se at its relaxed geometry, computed with PBE.

For the total energy, the calculation gives -5.778 eV per atom. The energy above the most stable polymorph in this dataset is 68 kJ/mol of formula units. The calculation puts the spin magnetization at 0.00 μB per cell. As for the energy relative to the elements, uncorrected: -0.6237 eV/atom.

Lattice parameters (Å, degrees): 3.475 3.475 7.668 90.00 90.00 90.00
Sites, in units of the cell vectors:
Tm 0.000 0.000 0.000
Sc 0.500 0.500 0.292
Sc 0.500 0.500 0.708
Se 0.000 0.000 0.500